# 1
{"formula": "Ho5Tm4Sc", "functional": "PBE", "state": "relaxed", "ef_mev_per_atom": 6, "n_ef_per_ev_cell": 16.80, "final_energy_ev_per_cell": -47.05, "relative_energy_ev_per_atom": 0.000, "density_g_cm3": 8.481, "magnetic_moment_mub_per_cell": 0.00, "cell": [[6.152, 0.000, 0.000], [-3.075, 5.810, 0.000], [-0.003, -3.081, 8.465]], "species": ["Ho", "Ho", "Ho", "Ho", "Ho", "Tm", "Tm", "Tm", "Tm", "Sc"], "fractional_positions": [[0.000, 0.000, 0.000], [0.063, 0.793, 0.296], [0.262, 0.197, 0.697], [0.396, 0.797, 0.798], [0.663, 0.000, 0.494], [0.197, 0.395, 0.394], [0.467, 0.601, 0.098], [0.795, 0.597, 0.596], [0.861, 0.395, 0.900], [0.596, 0.197, 0.197]]}


# 2
{"formula": "LaPm8Cd2", "functional": "PBE", "state": "relaxed", "ef_mev_per_atom": -71, "n_ef_per_ev_cell": 15.91, "final_energy_ev_per_cell": -45.55, "relative_energy_ev_per_atom": 0.000, "density_g_cm3": 7.084, "magnetic_moment_mub_per_cell": 0.00, "cell": [[8.499, -2.712, 0.000], [8.499, 2.712, 0.000], [-3.511, 0.000, 7.746]], "species": ["La", "Pm", "Pm", "Pm", "Pm", "Pm", "Pm", "Pm", "Pm", "Cd", "Cd"], "fractional_positions": [[0.000, 0.000, 0.000], [0.103, 0.103, 0.472], [0.189, 0.189, 0.957], [0.348, 0.348, 0.790], [0.447, 0.447, 0.263], [0.553, 0.553, 0.737], [0.652, 0.652, 0.210], [0.811, 0.811, 0.043], [0.897, 0.897, 0.528], [0.278, 0.278, 0.368], [0.722, 0.722, 0.632]]}


# 3
{"formula": "SmAs2Pd7Pb2", "functional": "PBE", "state": "relaxed", "ef_mev_per_atom": -436, "n_ef_per_ev_cell": 5.08, "final_energy_ev_per_cell": -63.01, "density_g_cm3": 9.993, "magnetic_moment_mub_per_cell": 0.00, "cell": [[2.900, -2.898, 0.000], [2.900, 2.898, 0.000], [-1.665, 0.000, 14.431]], "species": ["Sm", "As", "As", "Pd", "Pd", "Pd", "Pd", "Pd", "Pd", "Pd", "Pb", "Pb"], "fractional_positions": [[0.000, 0.000, 0.000], [0.427, 0.427, 0.751], [0.573, 0.573, 0.249], [0.045, 0.544, 0.151], [0.390, 0.390, 0.580], [0.456, 0.955, 0.849], [0.500, 0.500, 0.000], [0.544, 0.045, 0.151], [0.610, 0.610, 0.420], [0.955, 0.456, 0.849], [0.113, 0.113, 0.393], [0.887, 0.887, 0.607]]}


# 4
{"formula": "PaMnCoGe", "functional": "PBE", "state": "relaxed", "ef_mev_per_atom": -144, "n_ef_per_ev_cell": 3.86, "final_energy_ev_per_cell": -30.96, "density_g_cm3": 11.159, "magnetic_moment_mub_per_cell": 1.13, "cell": [[0.000, 3.144, 3.144], [3.144, 0.000, 3.144], [3.144, 3.144, 0.000]], "species": ["Pa", "Mn", "Co", "Ge"], "fractional_positions": [[0.000, 0.000, 0.000], [0.750, 0.750, 0.750], [0.250, 0.250, 0.250], [0.500, 0.500, 0.500]]}


# 5
{"formula": "Ac14ErIn", "functional": "PBE", "state": "relaxed", "ef_mev_per_atom": -21, "n_ef_per_ev_cell": 21.78, "final_energy_ev_per_cell": -65.15, "density_g_cm3": 8.483, "magnetic_moment_mub_per_cell": 0.00, "cell": [[11.135, 0.000, 0.000], [0.000, 5.515, 5.514], [0.000, -5.515, 5.514]], "species": ["Ac", "Ac", "Ac", "Ac", "Ac", "Ac", "Ac", "Ac", "Ac", "Ac", "Ac", "Ac", "Ac", "Ac", "Er", "In"], "fractional_positions": [[0.000, 0.000, 0.000], [0.000, 0.000, 0.499], [0.000, 0.499, 0.000], [0.000, 0.500, 0.500], [0.258, 0.749, 0.749], [0.259, 0.251, 0.251], [0.259, 0.251, 0.749], [0.259, 0.749, 0.251], [0.500, 0.501, 0.999], [0.500, 0.999, 0.501], [0.741, 0.251, 0.251], [0.741, 0.251, 0.749], [0.741, 0.749, 0.251], [0.742, 0.749, 0.749], [0.500, 0.000, 0.000], [0.500, 0.500, 0.500]]}


# 6
{"formula": "Er5Sb3", "functional": "PBE", "state": "relaxed", "e_form_raw_mev_per_atom": -887, "n_ef_per_ev_cell": 15.60, "final_energy_ev_per_cell": -84.55, "relative_energy_ev_per_atom": 0.000, "density_g_cm3": 9.320, "magnetic_moment_mub_per_cell": 0.00, "cell": [[8.895, 0.000, 0.000], [-4.447, 7.703, 0.000], [0.000, 0.000, 6.249]], "species": ["Er", "Er", "Er", "Er", "Er", "Er", "Er", "Er", "Er", "Er", "Sb", "Sb", "Sb", "Sb", "Sb", "Sb"], "fractional_positions": [[0.000, 0.246, 0.250], [0.000, 0.754, 0.750], [0.246, 0.000, 0.250], [0.246, 0.246, 0.750], [0.333, 0.667, 0.000], [0.333, 0.667, 0.500], [0.667, 0.333, 0.000], [0.667, 0.333, 0.500], [0.754, 0.000, 0.750], [0.754, 0.754, 0.250], [0.000, 0.390, 0.750], [0.000, 0.610, 0.250], [0.390, 0.000, 0.750], [0.390, 0.390, 0.250], [0.610, 0.000, 0.250], [0.610, 0.610, 0.750]]}


# 7
{"formula": "SrMnZn2Cl", "functional": "PBE", "state": "relaxed", "e_form_raw_mev_per_atom": 332, "n_ef_per_ev_cell": 3.28, "final_energy_ev_per_cell": -13.59, "density_g_cm3": 3.242, "magnetic_moment_mub_per_cell": 4.54, "cell": [[5.433, 0.000, 0.000], [0.000, 5.433, 0.000], [0.000, 0.000, 5.359]], "species": ["Sr", "Mn", "Zn", "Zn", "Cl"], "fractional_positions": [[0.000, 0.000, 0.000], [0.500, 0.500, 0.000], [0.000, 0.500, 0.500], [0.500, 0.000, 0.500], [0.000, 0.000, 0.500]]}


# 8
{"formula": "KTc2Pb", "functional": "PBE", "state": "relaxed", "ef_mev_per_atom": 956, "n_ef_per_ev_cell": 3.71, "final_energy_ev_per_cell": -21.71, "density_g_cm3": 7.212, "magnetic_moment_mub_per_cell": 0.00, "cell": [[3.037, 0.000, 0.000], [0.000, 4.675, 0.000], [0.000, 0.000, 7.174]], "species": ["K", "Tc", "Tc", "Pb"], "fractional_positions": [[0.000, 0.000, 0.000], [0.500, 0.500, 0.348], [0.500, 0.500, 0.652], [0.000, 0.000, 0.500]]}


# 9
{"formula": "Tb2DyHf", "functional": "PBE", "state": "relaxed", "ef_mev_per_atom": 361, "n_ef_per_ev_cell": 6.23, "final_energy_ev_per_cell": -22.37, "relative_energy_ev_per_atom": 0.245, "density_g_cm3": 9.429, "magnetic_moment_mub_per_cell": 0.00, "cell": [[1.672, 0.965, 11.986], [-1.672, 0.965, 11.986], [0.000, -1.930, 11.986]], "species": ["Tb", "Tb", "Dy", "Hf"], "fractional_positions": [[0.086, 0.086, 0.086], [0.914, 0.914, 0.914], [0.500, 0.500, 0.500], [0.000, 0.000, 0.000]]}


# 10
{"formula": "Pm2Dy4Ge3O2", "functional": "PBE", "state": "relaxed", "e_form_raw_mev_per_atom": -1579, "n_ef_per_ev_cell": 8.06, "final_energy_ev_per_cell": -69.05, "density_g_cm3": 7.891, "magnetic_moment_mub_per_cell": 0.00, "cell": [[-2.281, 2.281, 12.033], [2.281, -2.281, 12.033], [2.281, 2.281, -12.033]], "species": ["Pm", "Pm", "Dy", "Dy", "Dy", "Dy", "Ge", "Ge", "Ge", "O", "O"], "fractional_positions": [[0.198, 0.198, 0.000], [0.802, 0.802, 0.000], [0.080, 0.580, 0.500], [0.420, 0.920, 0.500], [0.580, 0.080, 0.500], [0.920, 0.420, 0.500], [0.327, 0.327, 0.000], [0.500, 0.500, 0.000], [0.673, 0.673, 0.000], [0.093, 0.093, 0.000], [0.907, 0.907, 0.000]]}


# 11
{"formula": "Na2Ac3Ge3", "functional": "PBE", "state": "relaxed", "ef_mev_per_atom": -358, "n_ef_per_ev_cell": 5.96, "final_energy_ev_per_cell": -31.68, "relative_energy_ev_per_atom": 0.114, "density_g_cm3": 6.539, "magnetic_moment_mub_per_cell": 0.00, "cell": [[-1.988, 2.576, 11.710], [1.988, -2.576, 11.710], [1.988, 2.576, -11.710]], "species": ["Na", "Na", "Ac", "Ac", "Ac", "Ge", "Ge", "Ge"], "fractional_positions": [[0.245, 0.245, 0.000], [0.755, 0.755, 0.000], [0.000, 0.000, 0.000], [0.383, 0.883, 0.500], [0.617, 0.117, 0.500], [0.145, 0.645, 0.500], [0.500, 0.500, 0.000], [0.855, 0.355, 0.500]]}


# 12
{"formula": "Tl2CuOsO6", "functional": "PBE", "state": "relaxed", "e_form_raw_mev_per_atom": -623, "n_ef_per_ev_cell": 6.18, "final_energy_ev_per_cell": -56.04, "density_g_cm3": 7.729, "magnetic_moment_mub_per_cell": 1.01, "cell": [[6.042, 0.000, 0.000], [-3.021, 5.233, 0.000], [0.000, 0.000, 5.154]], "species": ["Tl", "Tl", "Cu", "Os", "O", "O", "O", "O", "O", "O"], "fractional_positions": [[0.333, 0.667, 0.234], [0.667, 0.333, 0.766], [0.000, 0.000, 0.500], [0.000, 0.000, 0.000], [0.145, 0.291, 0.781], [0.145, 0.855, 0.781], [0.291, 0.145, 0.219], [0.709, 0.855, 0.781], [0.855, 0.145, 0.219], [0.855, 0.709, 0.219]]}